No. 1
## CsSn3Sb (PBE-GGA)

Data for a geometry-optimized CsSn3Sb structure.

POSCAR file:
```
CsSn3Sb
1.0
-3.756 -4.688 2.200
6.259 -5.409 -0.841
0.891 2.676 7.219
Cs Sn Sb
2 6 2
Direct
0.459 0.456 0.518 Cs
0.959 0.897 0.384 Cs
0.346 0.319 0.989 Sn
0.454 0.020 0.128 Sn
0.944 0.341 0.194 Sn
0.846 0.034 0.914 Sn
0.954 0.333 0.774 Sn
0.444 0.012 0.707 Sn
0.176 0.792 0.874 Sb
0.676 0.561 0.027 Sb
```

Summary:
symmetry = P2_1, No. 4
energy above the lowest structure with this stoichiometry = 0 meV per atom
theoretical density = 5.06 g/cm³
V = 401.0 Å³ per cell
final energy = -35.62 eV/cell



No. 2
## TeP2Pb (PBE-GGA)

Data for a geometry-optimized TeP2Pb structure.

POSCAR file:
```
TeP2Pb
1.0
-1.560 -2.852 0.261
2.741 -1.400 1.079
-2.274 2.011 8.382
P Pb Te
2 1 1
Direct
0.000 0.000 0.106 P
0.500 0.500 0.190 P
0.000 0.000 0.448 Pb
0.500 0.500 0.756 Te
```

Summary:
symmetry = P4mm, No. 99
energy above the lowest structure with this stoichiometry = 116 meV per atom
theoretical density = 6.95 g/cm³
V = 94.8 Å³ per cell
final energy = -16.78 eV/cell



No. 3
## ReAsAu (PBE-GGA)

Data for a geometry-optimized ReAsAu structure.

POSCAR file:
```
ReAsAu
1.0
-1.456 -2.275 7.767
1.330 -2.595 7.448
-0.893 2.356 1.270
Re As Au
1 1 1
Direct
0.657 0.657 0.343 Re
0.027 0.027 0.973 As
0.315 0.315 0.685 Au
```

Summary:
formation energy from the elements = 0.4851 eV per atom
symmetry = Fmm2, No. 42
energy above the lowest structure with this stoichiometry = 172 meV per atom
theoretical density = 13.67 g/cm³
V = 55.7 Å³ per cell
final energy = -18.92 eV/cell



No. 4
## Sc2Te2Br (PBE-GGA)

Data for a geometry-optimized Sc2Te2Br structure.

POSCAR file:
```
Sc2Te2Br
1.0
4.154 0.000 0.000
0.000 4.154 0.000
-2.077 -2.077 8.283
Sc Te Br
2 2 1
Direct
0.839 0.839 0.679 Sc
0.161 0.161 0.321 Sc
0.661 0.661 0.322 Te
0.339 0.339 0.678 Te
0.000 0.000 0.000 Br
```

Summary:
symmetry = I4/mmm, No. 139
energy above the lowest structure with this stoichiometry = 0 meV per atom
theoretical density = 4.94 g/cm³
V = 142.9 Å³ per cell
final energy = -27.10 eV/cell



No. 5
## Pr8Si3SI4 (PBE-GGA)

Data for a geometry-optimized Pr8Si3SI4 structure.

POSCAR file:
```
Pr8Si3SI4
1.0
-2.453 6.721 4.809
-8.868 -2.008 -1.715
4.928 -6.186 3.431
Pr Si S I
8 3 1 4
Direct
0.231 0.693 0.963 Pr
0.231 0.693 0.461 Pr
0.267 0.302 0.535 Pr
0.732 0.693 0.963 Pr
0.268 0.307 0.037 Pr
0.733 0.698 0.465 Pr
0.769 0.307 0.539 Pr
0.769 0.307 0.037 Pr
0.500 0.500 0.000 Si
0.500 0.500 0.500 Si
0.000 0.500 0.500 Si
0.000 0.500 0.000 S
0.500 0.000 0.000 I
0.500 0.000 0.500 I
0.000 0.000 0.000 I
0.000 0.000 0.500 I
```

Summary:
symmetry = R-3m, No. 166
theoretical density = 5.79 g/cm³
V = 502.0 Å³ per cell
final energy = -82.56 eV/cell



No. 6
## K2U2Se2S (PBE-GGA)

Data for a geometry-optimized K2U2Se2S structure.

POSCAR file:
```
K2U2Se2S
1.0
-2.411 1.682 -4.266
3.131 -2.918 -2.920
-5.716 -5.676 4.138
K U Se S
2 2 2 1
Direct
0.191 0.191 0.381 K
0.809 0.809 0.619 K
0.000 0.500 0.000 U
0.500 0.000 0.000 U
0.392 0.392 0.783 Se
0.608 0.608 0.217 Se
0.000 0.000 0.000 S
```

Summary:
symmetry = I4/mmm, No. 139
theoretical density = 5.56 g/cm³
V = 222.3 Å³ per cell
final energy = -41.45 eV/cell



No. 7
## Ti5Te2S (PBE-GGA)

Data for a geometry-optimized Ti5Te2S structure.

POSCAR file:
```
Ti5Te2S
1.0
-1.872 -1.971 3.775
-2.301 -3.336 -5.749
8.906 -7.240 0.637
Ti Te S
10 4 2
Direct
0.899 0.797 0.870 Ti
0.899 0.797 0.630 Ti
0.296 0.592 0.462 Ti
0.296 0.592 0.038 Ti
0.712 0.424 0.250 Ti
0.288 0.576 0.750 Ti
0.704 0.408 0.538 Ti
0.704 0.408 0.962 Ti
0.101 0.203 0.130 Ti
0.101 0.203 0.370 Ti
0.892 0.784 0.394 Te
0.892 0.784 0.106 Te
0.108 0.216 0.606 Te
0.108 0.216 0.894 Te
0.749 0.497 0.750 S
0.251 0.503 0.250 S
```

Summary:
symmetry = Cmcm, No. 63
theoretical density = 4.93 g/cm³
V = 354.9 Å³ per cell
final energy = -105.50 eV/cell



No. 8
## ThAg2Pb (PBE-GGA)

Data for a geometry-optimized ThAg2Pb structure.

POSCAR file:
```
ThAg2Pb
1.0
-2.453 -2.341 1.719
-0.421 -1.940 -3.242
5.270 -4.186 1.820
Pb Ag Th
1 2 1
Direct
0.500 0.500 0.500 Pb
0.000 0.000 0.744 Ag
0.000 0.000 0.256 Ag
0.500 0.500 0.000 Th
```

Summary:
formation energy from the elements = -0.0187 eV per atom
symmetry = P4/mmm, No. 123
theoretical density = 10.79 g/cm³
V = 100.8 Å³ per cell
final energy = -16.91 eV/cell



Number 1: spin magnetization 0.0000 μB/atom. Number 2: spin magnetization 0.0000 μB/atom. Number 3: spin magnetization 0.0000 μB/atom. Number 4: spin magnetization 0.0000 μB/atom. Number 5: spin magnetization 0.0000 μB/atom. Number 6: spin magnetization 0.9640 μB/atom. Number 7: spin magnetization 0.0000 μB/atom. Number 8: spin magnetization 0.0003 μB/atom.